No. 1
Material: Er3Mg3AlTl2
Method: DFT, GGA-PBE
State: optimized geometry

POSCAR file:
```
Er3Mg3AlTl2
1.0
7.446 0.000 0.000
-3.723 6.449 0.000
0.000 0.000 4.593
Al Er Mg Tl
1 3 3 2
Direct
0.000 0.000 0.000 Al
0.570 0.000 0.000 Er
0.430 0.430 0.000 Er
0.000 0.570 0.000 Er
0.236 0.000 0.500 Mg
0.000 0.236 0.500 Mg
0.764 0.764 0.500 Mg
0.667 0.333 0.500 Tl
0.333 0.667 0.500 Tl
```


No. 2
Material: AgSbPt2
Method: DFT, GGA-PBE
State: optimized geometry

POSCAR file:
```
AgSbPt2
1.0
1.030 -4.522 -0.479
-3.414 -3.118 -0.598
-0.550 -2.091 -4.130
Ag Pt Sb
1 2 1
Direct
0.250 0.250 0.250 Ag
0.000 0.000 0.000 Pt
0.750 0.750 0.750 Pt
0.500 0.500 0.500 Sb
```


No. 3
Material: Zn3Cl2
Method: DFT, GGA-PBE
State: optimized geometry

POSCAR file:
```
Zn3Cl2
1.0
-7.199 0.000 0.000
3.599 -6.234 0.000
-3.599 2.078 5.432
Cl Zn
4 6
Direct
0.641 0.359 0.076 Cl
0.859 0.141 0.424 Cl
0.141 0.859 0.576 Cl
0.359 0.641 0.924 Cl
0.565 0.750 0.250 Zn
0.935 0.435 0.250 Zn
0.250 0.065 0.250 Zn
0.750 0.935 0.750 Zn
0.065 0.565 0.750 Zn
0.435 0.250 0.750 Zn
```


No. 4
Material: UTe5
Method: DFT, GGA-PBE
State: optimized geometry

POSCAR file:
```
UTe5
1.0
-9.392 12.300 10.623
4.175 -4.075 8.410
3.255 2.736 -0.290
Te U
20 4
Direct
0.000 0.000 0.000 Te
0.000 0.500 0.000 Te
0.660 0.563 0.107 Te
0.660 0.937 0.107 Te
0.466 0.750 0.117 Te
0.247 0.250 0.169 Te
0.747 0.250 0.331 Te
0.966 0.750 0.383 Te
0.160 0.563 0.393 Te
0.160 0.937 0.393 Te
0.500 0.000 0.500 Te
0.500 0.500 0.500 Te
0.840 0.063 0.607 Te
0.840 0.437 0.607 Te
0.034 0.250 0.617 Te
0.253 0.750 0.669 Te
0.753 0.750 0.831 Te
0.534 0.250 0.883 Te
0.340 0.063 0.893 Te
0.340 0.437 0.893 Te
0.910 0.250 0.107 U
0.410 0.250 0.393 U
0.590 0.750 0.607 U
0.090 0.750 0.893 U
```


| no. | calculated density (g/cm3) | energy (eV per atom) |
| --- | --- | --- |
| 1 | 7.61 | -3.2730 |
| 2 | 14.36 | -4.7847 |
| 3 | 3.64 | -1.3779 |
| 4 | 7.10 | -4.8510 |